# 1
A relaxed Na5GeO4F2 crystal. Source: Alexandria, functional PBE.

Cell lengths 5.5829, 5.3989, 6.7142 Å; angles 90.00, 90.00, 121.13 degrees
Atoms (fractional coordinates):
O (0.0694, 0.6958, 0.0000)
Na (0.0831, 0.3751, 0.2486)
Na (0.4040, 0.0000, 0.5000)
O (0.6120, 0.0000, 0.2105)
F (0.9732, 0.6135, 0.5000)
O (0.3736, 0.3042, 0.0000)
O (0.6120, 0.0000, 0.7895)
F (0.3597, 0.3865, 0.5000)
Na (0.7080, 0.6249, 0.7514)
Na (0.7080, 0.6249, 0.2486)
Na (0.0831, 0.3751, 0.7514)
Ge (0.4198, 0.0000, 0.0000)

Calculated values
DFT total energy in eV per atom: -4.796
SG: Amm2



# 2
A relaxed NaGeO2F crystal. Source: Alexandria, functional PBE.

Cell lengths 4.1283, 4.1283, 4.0458 Å; angles 90.00, 90.00, 90.00 degrees
Atoms (fractional coordinates):
O (0.0000, 0.5000, 0.0000)
Na (0.0000, 0.0000, 0.0000)
F (0.0000, 0.0000, 0.5000)
Ge (0.5000, 0.5000, 0.5000)
O (0.5000, 0.0000, 0.0000)

Calculated values
DFT total energy in eV per atom: -3.842
SG: P4/mmm